Entry w
Entry from Alexandria via LeMat-Bulk: Cr3Cl at its PBEsol-relaxed geometry (meta-GGA SCAN).

a = 4.0723 Å, b = 4.0723 Å, c = 4.0723 Å
α = 90.00°, β = 90.00°, γ = 90.00°
With the nearest neighbours (Å) after each atom.
Space group Pm-3m (No. 221)
One atom of each set of equivalent atoms:
Cr: 0.0000 0.0000 0.5000  2 Cl 2.04
Cl: 0.0000 0.0000 0.0000  6 Cr 2.04

Results
As for the density of states at the Fermi level: 5.42 states/eV/cell.


Entry x
Entry from Alexandria via LeMat-Bulk: Cr3Cl at its PBEsol-relaxed geometry (meta-GGA SCAN).

a = 4.1016 Å, b = 4.1016 Å, c = 2.7403 Å
α = 90.00°, β = 90.00°, γ = 90.00°
With the nearest neighbours (Å) after each atom.
Space group P4/mmm (No. 123)
One atom of each set of equivalent atoms:
Cr: 0.0000 0.0000 0.0000  10 Cr 2.47-2.74
Cr: 0.0000 0.5000 0.5000  6 Cr 2.47-2.74, 4 Cl 2.47
Cl: 0.5000 0.5000 0.0000  8 Cr 2.47, 2 Cl 2.74

Results
As for the density of states at the Fermi level: 2.73 states/eV/cell.


Entry y
Entry from Alexandria via LeMat-Bulk: Cr3Cl at its PBEsol-relaxed geometry (meta-GGA SCAN).

a = 2.7215 Å, b = 9.0201 Å, c = 3.9441 Å
α = 90.00°, β = 90.00°, γ = 90.00°
With the nearest neighbours (Å) after each atom.
Space group Imm2 (No. 44)
One atom of each set of equivalent atoms:
Cr: 0.0000 0.0000 0.0000  2 Cl 2.21
Cr: 0.0000 0.2953 0.2517  1 Cl 2.21
Cl: 0.0000 0.5000 0.9420  4 Cr 2.21

Results
As for the density of states at the Fermi level: 8.85 states/eV/cell.


Entry z
Entry from Alexandria via LeMat-Bulk: Cr3Cl at its PBEsol-relaxed geometry (meta-GGA SCAN).

a = 2.9395 Å, b = 4.7634 Å, c = 7.5114 Å
α = 90.00°, β = 90.00°, γ = 90.00°
With the nearest neighbours (Å) after each atom.
Space group Cmmm (No. 65)
One atom of each set of equivalent atoms:
Cr: 0.0000 0.0000 0.0000  4 Cr 2.29
Cr: 0.0000 0.5000 0.2336  2 Cr 2.29, 2 Cl 2.48
Cl: 0.0000 0.0000 0.5000  4 Cr 2.48

Results
As for the density of states at the Fermi level: 5.38 states/eV/cell.


Verdict on stability: entry z comes out on top.


Entry w
Entry from Alexandria via LeMat-Bulk: Cr2CuCl at its PBEsol-relaxed geometry (meta-GGA SCAN).

a = 5.7145 Å, b = 5.7145 Å, c = 5.7145 Å
α = 90.00°, β = 90.00°, γ = 90.00°
With the nearest neighbours (Å) after each atom.
Space group Fm-3m (No. 225)
One atom of each set of equivalent atoms:
Cr: 0.2500 0.2500 0.2500  4 Cl 2.47, 4 Cu 2.47
Cu: 0.0000 0.0000 0.0000  8 Cr 2.47
Cl: 0.0000 0.0000 0.5000  8 Cr 2.47

Results
As for the density of states at the Fermi level: 14.49 states/eV/cell.


Entry x
Entry from Alexandria via LeMat-Bulk: Cr2CuCl at its PBEsol-relaxed geometry (meta-GGA SCAN).

a = 4.2006 Å, b = 4.2006 Å, c = 2.7122 Å
α = 90.00°, β = 90.00°, γ = 90.00°
With the nearest neighbours (Å) after each atom.
Space group P4/mmm (No. 123)
One atom of each set of equivalent atoms:
Cr: 0.0000 0.5000 0.0000  4 Cl 2.50, 4 Cu 2.50, 2 Cr 2.71
Cu: 0.0000 0.0000 0.5000  8 Cr 2.50, 2 Cu 2.71
Cl: 0.5000 0.5000 0.5000  8 Cr 2.50, 2 Cl 2.71

Results
As for the density of states at the Fermi level: 2.66 states/eV/cell.


Entry y
Entry from Alexandria via LeMat-Bulk: Cr2CuCl at its PBEsol-relaxed geometry (meta-GGA SCAN).

a = 3.0425 Å, b = 3.0425 Å, c = 6.6030 Å
α = 90.00°, β = 90.00°, γ = 90.00°
With the nearest neighbours (Å) after each atom.
Space group P4/mmm (No. 123)
One atom of each set of equivalent atoms:
Cr: 0.0000 0.0000 0.2239  4 Cu 2.61, 4 Cl 2.82
Cu: 0.5000 0.5000 0.0000  8 Cr 2.61
Cl: 0.5000 0.5000 0.5000  8 Cr 2.82, 4 Cl 3.04

Results
As for the density of states at the Fermi level: 2.70 states/eV/cell.


Verdict on stability: entry y comes out on top.


Entry w
Entry from Alexandria via LeMat-Bulk: CrN2ClF at its PBEsol-relaxed geometry (meta-GGA SCAN).

a = 3.7253 Å, b = 3.7253 Å, c = 3.8199 Å
α = 90.00°, β = 90.00°, γ = 90.00°
With the nearest neighbours (Å) after each atom.
Space group P4/mmm (No. 123)
One atom of each set of equivalent atoms:
Cr: 0.0000 0.0000 0.0000  4 N 1.86, 2 F 1.91
N: 0.0000 0.5000 0.0000  2 Cr 1.86
Cl: 0.5000 0.5000 0.5000  4 F 2.63, 8 N 2.67
F: 0.0000 0.0000 0.5000  2 Cr 1.91

Results
As for the density of states at the Fermi level: 2.56 states/eV/cell.


Entry x
Entry from Alexandria via LeMat-Bulk: CrN2ClF at its PBEsol-relaxed geometry (meta-GGA SCAN).

a = 3.5078 Å, b = 3.5078 Å, c = 4.7812 Å
α = 90.00°, β = 90.00°, γ = 90.00°
With the nearest neighbours (Å) after each atom.
Space group P4/mmm (No. 123)
One atom of each set of equivalent atoms:
Cr: 0.0000 0.0000 0.0000  4 F 2.48
N: 0.0000 0.5000 0.5000  2 Cl 1.75
Cl: 0.5000 0.5000 0.5000  4 N 1.75
F: 0.5000 0.5000 0.0000  2 Cl 2.39, 4 Cr 2.48

Results
As for the density of states at the Fermi level: 3.98 states/eV/cell.


Verdict on stability: entry w comes out on top.


Entry w
Entry from Alexandria via LeMat-Bulk: Cr2FeCl at its PBEsol-relaxed geometry (meta-GGA SCAN).

a = 2.6871 Å, b = 2.6871 Å, c = 6.1054 Å
α = 90.00°, β = 90.00°, γ = 90.00°
With the nearest neighbours (Å) after each atom.
Space group P4/mmm (No. 123)
One atom of each set of equivalent atoms:
Cr: 0.0000 0.0000 0.2485  4 Cl 2.43, 4 Fe 2.44, 4 Cr 2.69
Fe: 0.5000 0.5000 0.5000  8 Cr 2.44, 4 Fe 2.69
Cl: 0.5000 0.5000 0.0000  8 Cr 2.43, 4 Cl 2.69

Results
As for the density of states at the Fermi level: 2.71 states/eV/cell.


Entry x
Entry from Alexandria via LeMat-Bulk: Cr2FeCl at its PBEsol-relaxed geometry (meta-GGA SCAN).

a = 9.0443 Å, b = 2.7479 Å, c = 3.8334 Å
α = 90.00°, β = 91.58°, γ = 90.00°
With the nearest neighbours (Å) after each atom.
Space group C2/m (No. 12)
One atom of each set of equivalent atoms:
Cr: 0.2169 0.0000 0.2891  2 Cr 2.19, 1 Cl 2.23
Fe: 0.0000 0.5000 0.5000  4 Cl 2.36, 4 Cr 2.54
Cl: 0.0000 0.0000 0.0000  2 Cr 2.23, 4 Fe 2.36

Results
As for the density of states at the Fermi level: 4.80 states/eV/cell.


Verdict on stability: entry w comes out on top.


Entry w
Entry from Alexandria via LeMat-Bulk: CrFe2Cl at its PBEsol-relaxed geometry (meta-GGA SCAN).

a = 2.9127 Å, b = 2.8353 Å, c = 6.5539 Å
α = 90.00°, β = 90.13°, γ = 90.00°
With the nearest neighbours (Å) after each atom.
Space group Pm (No. 6)
One atom of each set of equivalent atoms:
Cr: 0.0000 0.0000 0.0000  5 Fe 2.37-2.63, 2 Cl 2.37
Fe: 0.0027 0.0000 0.4010  2 Cl 2.47, 4 Fe 2.47, 1 Cr 2.63
Fe: 0.5010 0.5000 0.1864  4 Cr 2.37, 4 Fe 2.47
Cl: 0.9924 0.5000 0.7093  2 Cr 2.37, 2 Fe 2.47

Results
As for the density of states at the Fermi level: 1.30 states/eV/cell.


Entry x
Entry from Alexandria via LeMat-Bulk: CrFe2Cl at its PBEsol-relaxed geometry (meta-GGA SCAN).

a = 2.6969 Å, b = 4.0636 Å, c = 8.3156 Å
α = 90.00°, β = 90.00°, γ = 90.00°
With the nearest neighbours (Å) after each atom.
Space group Imm2 (No. 44)
One atom of each set of equivalent atoms:
Cr: 0.0000 0.0000 0.0000  2 Cl 2.30, 4 Fe 2.47
Fe: 0.0000 0.0000 0.5465  2 Cl 2.34, 4 Cr 2.47
Fe: 0.0000 0.5000 0.7695  4 Cl 2.44, 2 Cr 2.62, 4 Fe 2.67-2.70
Cl: 0.0000 0.5000 0.2762  2 Cr 2.30, 6 Fe 2.34-2.44

Results
As for the density of states at the Fermi level: 7.67 states/eV/cell.


Verdict on stability: entry w comes out on top.


Entry w
Entry from Alexandria via LeMat-Bulk: CrFe2Cl at its PBEsol-relaxed geometry (meta-GGA SCAN).

a = 2.7581 Å, b = 2.7581 Å, c = 22.2923 Å
α = 90.00°, β = 90.00°, γ = 120.00°
With the nearest neighbours (Å) after each atom.
Space group R-3m (No. 166, hexagonal axes)
One atom of each set of equivalent atoms:
Cr: 0.0000 0.0000 0.0000  6 Fe 2.41
Fe: 0.0000 0.0000 0.2524  3 Cr 2.41, 3 Cl 2.49
Cl: 0.0000 0.0000 0.5000  6 Fe 2.49, 6 Cl 2.76

Results
As for the density of states at the Fermi level: 13.81 states/eV/cell.


Entry x
Entry from Alexandria via LeMat-Bulk: CrFe2Cl at its PBEsol-relaxed geometry (meta-GGA SCAN).

a = 2.7157 Å, b = 4.0384 Å, c = 8.3753 Å
α = 90.00°, β = 90.00°, γ = 90.00°
With the nearest neighbours (Å) after each atom.
Space group Immm (No. 71)
One atom of each set of equivalent atoms:
Cr: 0.0000 0.0000 0.0000  4 Cl 2.43, 4 Fe 2.63, 2 Cr 2.72
Fe: 0.0000 0.5000 0.2311  2 Cl 2.36, 4 Fe 2.45, 2 Cr 2.63
Cl: 0.0000 0.0000 0.5000  4 Fe 2.36, 4 Cr 2.43

Results
As for the density of states at the Fermi level: 6.53 states/eV/cell.


Entry y
Entry from Alexandria via LeMat-Bulk: CrFe2Cl at its PBEsol-relaxed geometry (meta-GGA SCAN).

a = 6.3679 Å, b = 2.7341 Å, c = 6.6195 Å
α = 90.00°, β = 90.10°, γ = 90.00°
With the nearest neighbours (Å) after each atom.
Space group Cm (No. 8)
One atom of each set of equivalent atoms:
Cr: 0.0000 0.0000 0.0000  1 Fe 2.01
Fe: 0.2454 0.5000 0.1787  1 Cr 2.01
Fe: 0.4531 0.0000 0.3887  1 Cl 2.26, 3 Fe 2.32-2.35
Cl: 0.4529 0.0000 0.7305  1 Fe 2.26, 2 Cr 2.27

Results
As for the density of states at the Fermi level: 5.52 states/eV/cell.


Verdict on stability: entry y comes out on top.